Record 1
DFT (PBE-GGA) results for an optimized crystal structure of Pm3Th2Rh4.

The structure in POSCAR format:
```
Pm3Th2Rh4
1.0
-2.203 -0.701 3.194
6.697 -0.612 2.051
-1.465 8.872 0.935
Pm Th Rh
3 2 4
direct
0.399 0.798 0.608
0.000 0.000 0.000
0.601 0.202 0.392
0.309 0.618 0.191
0.691 0.382 0.809
0.659 0.318 0.108
0.064 0.127 0.652
0.936 0.873 0.348
0.341 0.682 0.892
```

## Properties
The value obtained for the raw total energy is -65.0 eV/f.u. As for the total magnetization: 0.00 μB/cell.

Record 2
DFT (PBE-GGA) results for an optimized crystal structure of Pm4ThRh4.

The structure in POSCAR format:
```
Pm4ThRh4
1.0
-1.306 -3.896 2.595
3.703 0.253 6.794
-1.963 2.883 7.891
Pm Th Rh
4 1 4
direct
0.702 0.390 0.205
0.899 0.791 0.411
0.298 0.610 0.795
0.101 0.209 0.589
0.500 0.000 0.000
0.315 0.095 0.276
0.685 0.905 0.724
0.904 0.284 0.908
0.096 0.716 0.092
```

## Properties
The value obtained for the raw total energy is -61.8 eV/f.u. As for the total magnetization: 0.00 μB/cell.

Record 3
DFT (PBE-GGA) results for an optimized crystal structure of Pm2ThRh9.

The structure in POSCAR format:
```
Pm2ThRh9
1.0
-3.841 1.075 -3.493
-4.272 -3.127 -0.289
-6.809 4.364 4.805
Pm Th Rh
2 1 9
direct
0.860 0.860 0.419
0.140 0.140 0.581
0.000 0.000 0.000
0.667 0.667 0.999
0.333 0.333 0.001
0.500 0.500 0.500
0.418 0.418 0.247
0.918 0.418 0.247
0.418 0.918 0.247
0.582 0.582 0.753
0.582 0.082 0.753
0.082 0.582 0.753
```

## Properties
The value obtained for the raw total energy is -90.0 eV/f.u. As for the total magnetization: 0.00 μB/cell.

Record 4
DFT (PBE-GGA) results for an optimized crystal structure of PmThRh4.

The structure in POSCAR format:
```
PmThRh4
1.0
-3.368 2.942 -3.048
-4.363 2.296 2.232
-0.214 5.372 0.617
Rh Th Pm
4 1 1
direct
0.625 0.625 0.124
0.625 0.124 0.625
0.625 0.625 0.625
0.124 0.625 0.625
0.250 0.250 0.250
0.000 0.000 0.000
```

## Properties
The value obtained for the raw total energy is -45.9 eV/f.u. As for the total magnetization: 0.00 μB/cell.

Record 5
DFT (PBE-GGA) results for an optimized crystal structure of Pm2ThRh2.

The structure in POSCAR format:
```
Pm2ThRh2
1.0
6.445 0.357 0.973
3.151 5.634 0.973
0.206 0.129 7.445
Pm Th Rh
4 2 4
direct
0.452 0.234 0.152
0.766 0.548 0.348
0.548 0.766 0.848
0.234 0.452 0.652
0.092 0.908 0.250
0.908 0.092 0.750
0.707 0.996 0.512
0.004 0.293 0.988
0.293 0.004 0.488
0.996 0.707 0.012
```

## Properties
The value obtained for the raw total energy is -35.0 eV/f.u. As for the total magnetization: 0.00 μB/cell.

Record 6
DFT (PBE-GGA) results for an optimized crystal structure of PmTh2Rh.

The structure in POSCAR format:
```
PmTh2Rh
1.0
6.348 0.000 0.000
0.000 7.219 0.000
0.000 0.000 10.027
Pm Th Rh
4 8 4
direct
0.651 0.539 0.250
0.849 0.039 0.250
0.349 0.461 0.750
0.151 0.961 0.750
0.156 0.680 0.060
0.344 0.180 0.440
0.844 0.320 0.560
0.656 0.820 0.940
0.844 0.320 0.940
0.656 0.820 0.560
0.156 0.680 0.440
0.344 0.180 0.060
0.123 0.392 0.250
0.377 0.892 0.250
0.877 0.608 0.750
0.623 0.108 0.750
```

## Properties
The value obtained for the raw total energy is -28.7 eV/f.u. As for the total magnetization: 0.00 μB/cell.

Record 7
DFT (PBE-GGA) results for an optimized crystal structure of Pm5ThRh6.

The structure in POSCAR format:
```
Pm5ThRh6
1.0
-1.326 2.936 3.788
1.670 -5.187 4.604
7.127 1.475 4.604
Rh Th Pm
6 1 5
direct
0.840 0.602 0.318
0.841 0.081 0.318
0.500 0.767 0.000
0.500 0.233 0.000
0.159 0.919 0.682
0.160 0.398 0.682
0.000 0.000 0.000
0.674 0.174 0.652
0.336 0.336 0.328
0.000 0.500 0.000
0.664 0.664 0.672
0.326 0.826 0.348
```

## Properties
The value obtained for the raw total energy is -84.0 eV/f.u. As for the total magnetization: 0.00 μB/cell.

Record 8
DFT (PBE-GGA) results for an optimized crystal structure of PmTh4Rh4.

The structure in POSCAR format:
```
PmTh4Rh4
1.0
-0.837 5.384 -1.777
-9.082 -1.218 0.589
0.176 2.902 8.709
Pm Th Rh
2 8 8
direct
0.000 0.000 0.000
0.500 0.500 0.500
0.500 0.307 0.900
0.000 0.600 0.807
0.500 0.693 0.100
0.000 0.193 0.600
0.500 0.900 0.693
0.000 0.807 0.400
0.000 0.400 0.193
0.500 0.100 0.307
0.500 0.800 0.393
0.500 0.200 0.607
0.000 0.893 0.700
0.000 0.300 0.893
0.000 0.700 0.107
0.500 0.393 0.200
0.500 0.607 0.800
0.000 0.107 0.300
```

## Properties
The value obtained for the raw total energy is -70.8 eV/f.u. As for the total magnetization: 0.00 μB/cell.

Question: Which of these has the lowest raw total energy?
Answer: Pm2ThRh9

Question: Which of these has the highest raw total energy?
Answer: PmTh2Rh

Question: Look up the raw total energy of the first one.
Answer: -65.0 eV/f.u.